No. 1
A relaxed structure of Cs2CaAuS. Source: Alexandria via LeMat-Bulk, functional PBE.

Unit cell a=7.2549 b=7.2549 c=4.7820 alpha=90.00 beta=90.00 gamma=90.00
Closest atoms and distances in Å follow each position.
Sites, in units of the cell vectors:
Cs 0.0000 0.5000 0.0000  2 Au 3.63
Cs 0.5000 0.0000 0.0000  2 Au 3.63
Ca 0.5000 0.5000 0.5000  8 Cs 4.34, 2 Ca 4.78
Au 0.0000 0.0000 0.0000  2 S 2.39
S 0.0000 0.0000 0.5000  2 Au 2.39

Summary:
Formation energy (no corrections): -0.083 eV/atom
Space-group type: P4/mmm, No. 123
Crystal system: tetragonal

=====

No. 2
A relaxed structure of Ag2GePbO4. Source: Alexandria via LeMat-Bulk, functional PBE.

Unit cell a=5.1360 b=5.1360 c=6.0141 alpha=111.02 beta=111.02 gamma=99.20
Closest atoms and distances in Å follow each position.
Sites, in units of the cell vectors:
Ag 0.7560 0.2560 0.5120  4 O 2.38-2.41
Ag 0.2560 0.7560 0.5120  4 O 2.38-2.41
Ge 0.4917 0.4917 0.9833  4 O 1.77-1.81
Pb 0.0397 0.0397 0.0794  4 O 2.37-2.48
O 0.6141 0.6141 0.7790  1 Ge 1.81
O 0.3997 0.7782 0.1779  1 Ge 1.77
O 0.7782 0.3997 0.1779  1 Ge 1.77
O 0.1649 0.1649 0.7790  1 Ge 1.81

Summary:
Formation energy (no corrections): -0.912 eV/atom
Space-group type: Fmm2, No. 42
Crystal system: orthorhombic

=====

No. 3
A relaxed structure of TbPr5Al2. Source: Alexandria via LeMat-Bulk, functional PBE.

Unit cell a=5.4753 b=5.4753 c=20.2142 alpha=90.00 beta=90.00 gamma=120.00
Closest atoms and distances in Å follow each position.
Sites, in units of the cell vectors:
Tb 0.3333 0.6667 0.2500  2 Al 3.01, 3 Pr 3.16
Tb 0.6667 0.3333 0.7500  2 Al 3.01, 3 Pr 3.16
Pr 0.0000 0.0000 0.3454  3 Al 3.34, 3 Tb 3.70, 3 Pr 3.70
Pr 0.0000 0.0000 0.1546  3 Al 3.34, 3 Tb 3.70, 3 Pr 3.70
Pr 0.6667 0.3333 0.2500  3 Tb 3.16
Pr 0.0000 0.0000 0.8454  3 Al 3.34, 3 Tb 3.70, 3 Pr 3.70
Pr 0.6667 0.3333 0.0551  4 Al 3.16-3.30
Pr 0.3333 0.6667 0.7500  3 Tb 3.16
Pr 0.3333 0.6667 0.9449  4 Al 3.16-3.30
Pr 0.3333 0.6667 0.5551  4 Al 3.16-3.30
Pr 0.6667 0.3333 0.4449  4 Al 3.16-3.30
Pr 0.0000 0.0000 0.6546  3 Al 3.34, 3 Tb 3.70, 3 Pr 3.70
Al 0.6667 0.3333 0.6012  1 Tb 3.01, 7 Pr 3.16-3.34
Al 0.3333 0.6667 0.1012  1 Tb 3.01, 7 Pr 3.16-3.34
Al 0.3333 0.6667 0.3988  1 Tb 3.01, 7 Pr 3.16-3.34
Al 0.6667 0.3333 0.8988  1 Tb 3.01, 7 Pr 3.16-3.34

Summary:
DFT formation energy: -27 meV per atom
Space-group type: P6_3/mmc, No. 194
Crystal system: hexagonal

=====

No. 4
A relaxed structure of MnSiTc2Rh. Source: Alexandria via LeMat-Bulk, functional PBE.

Unit cell a=4.3424 b=4.3424 c=4.1420 alpha=90.00 beta=90.00 gamma=90.00
Closest atoms and distances in Å follow each position.
Sites, in units of the cell vectors:
Si 0.0000 0.0000 0.0000  2 Mn 2.07, 4 Tc 2.17
Mn 0.0000 0.0000 0.5000  2 Si 2.07
Rh 0.5000 0.5000 0.5000  8 Tc 3.00, 4 Mn 3.07
Tc 0.0000 0.5000 0.0000  2 Si 2.17
Tc 0.5000 0.0000 0.0000  2 Si 2.17

Summary:
Formation energy (no corrections): 0.972 eV/atom
Space-group type: P4/mmm, No. 123
Crystal system: tetragonal

=====

No. 5
A relaxed structure of Nd5Np2S12. Source: Alexandria via LeMat-Bulk, functional PBE.

Unit cell a=7.4925 b=8.6329 c=9.0943 alpha=105.72 beta=90.00 gamma=115.72
Closest atoms and distances in Å follow each position.
Sites, in units of the cell vectors:
Nd 0.2952 0.5903 0.6367  7 S 2.87-3.03
Nd 0.3115 0.6231 0.1762  7 S 2.87-3.04
Nd 0.0000 0.0000 0.5000  6 S 2.78-2.91
Nd 0.6885 0.3769 0.8238  7 S 2.87-3.04
Nd 0.7048 0.4097 0.3633  7 S 2.87-3.03
Np 0.7471 0.0000 0.0000  6 S 2.58-2.67
Np 0.2529 0.0000 0.0000  6 S 2.58-2.67
S 0.9966 0.9932 0.1925  2 Np 2.59, 1 Nd 2.78
S 0.0951 0.6530 0.9109  1 Np 2.58, 1 Nd 2.87
S 0.5580 0.6530 0.9109  1 Np 2.58, 1 Nd 2.87
S 0.1028 0.7014 0.4329  4 Nd 2.87-2.93
S 0.5986 0.7014 0.4329  4 Nd 2.87-2.93
S 0.4977 0.9955 0.7872  2 Np 2.67, 1 Nd 2.88
S 0.5023 0.0045 0.2128  2 Np 2.67, 1 Nd 2.88
S 0.8972 0.2986 0.5671  4 Nd 2.87-2.93
S 0.4014 0.2986 0.5671  4 Nd 2.87-2.93
S 0.9049 0.3470 0.0891  1 Np 2.58, 1 Nd 2.87
S 0.4420 0.3470 0.0891  1 Np 2.58, 1 Nd 2.87
S 0.0034 0.0068 0.8075  2 Np 2.59, 1 Nd 2.78

Summary:
Formation energy (no corrections): -1.726 eV/atom
Space-group type: C2/m, No. 12
Crystal system: monoclinic

=====

No. 6
A relaxed structure of NdDyZnCd. Source: Alexandria via LeMat-Bulk, functional PBE.

Unit cell a=5.2657 b=5.2657 c=5.2657 alpha=60.00 beta=60.00 gamma=60.00
Closest atoms and distances in Å follow each position.
Sites, in units of the cell vectors:
Zn 0.2500 0.2500 0.2500  4 Dy 3.22, 4 Nd 3.22
Cd 0.7500 0.7500 0.7500  4 Nd 3.22, 4 Dy 3.22
Nd 0.0000 0.0000 0.0000  4 Cd 3.22, 4 Zn 3.22
Dy 0.5000 0.5000 0.5000  4 Cd 3.22, 4 Zn 3.22

Summary:
Energy relative to the lowest polymorph listed for this composition: 28.2 meV per atom
DFT formation energy: -296 meV per atom
Space-group type: F-43m, No. 216
Crystal system: cubic

=====

No. 7
A relaxed structure of Ac2CdAg5. Source: Alexandria via LeMat-Bulk, functional PBE.

Unit cell a=6.6547 b=6.6547 c=6.6547 alpha=93.63 beta=117.93 gamma=117.93
Closest atoms and distances in Å follow each position.
Sites, in units of the cell vectors:
Ac 0.5000 0.2523 0.7523  10 Ag 3.34-3.43
Ac 0.5000 0.7523 0.2523  10 Ag 3.34-3.43
Cd 0.0000 0.9390 0.9390  5 Ag 2.91-2.94
Ag 0.4135 0.7109 0.7109  3 Ag 2.84-2.98, 1 Cd 2.91
Ag 0.0000 0.7109 0.2975  3 Ag 2.84-2.98, 1 Cd 2.91
Ag 0.0000 0.2975 0.7109  3 Ag 2.84-2.98, 1 Cd 2.91
Ag 0.5865 0.2975 0.2975  3 Ag 2.84-2.98, 1 Cd 2.91
Ag 0.0000 0.2616 0.2616  1 Cd 2.94, 4 Ag 2.98

Summary:
Energy relative to the lowest polymorph listed for this composition: 115.6 meV per atom
DFT formation energy: -110 meV per atom
Space-group type: I4mm, No. 107
Crystal system: tetragonal

=====

No. 8
A relaxed structure of CaAg2P. Source: Alexandria via LeMat-Bulk, functional PBE.

Unit cell a=5.7010 b=5.7010 c=5.7010 alpha=141.34 beta=134.70 gamma=61.03
Closest atoms and distances in Å follow each position.
Sites, in units of the cell vectors:
Ag 0.0259 0.0259 0.0000  2 P 2.90, 4 Ag 2.94, 2 Ca 3.11
Ag 0.4741 0.4741 0.0000  2 P 2.90, 4 Ag 2.94, 2 Ca 3.11
Ca 0.7500 0.2500 0.5000  4 P 2.89, 4 Ag 3.11
P 0.2500 0.7500 0.5000  4 Ca 2.89, 4 Ag 2.90

Summary:
DFT formation energy: -260 meV per atom
Space-group type: Immm, No. 71
Crystal system: orthorhombic

=====

No. 9
A relaxed structure of SmTmGa2Cu2. Source: Alexandria via LeMat-Bulk, functional PBE.

Unit cell a=4.3572 b=4.3572 c=7.1663 alpha=90.00 beta=90.00 gamma=120.00
Closest atoms and distances in Å follow each position.
Sites, in units of the cell vectors:
Sm 0.0000 0.0000 0.0000  6 Ga 3.17, 6 Cu 3.21
Tm 0.0000 0.0000 0.5000  6 Cu 2.98, 6 Ga 3.02
Ga 0.6667 0.3333 0.7319  3 Cu 2.52
Ga 0.3333 0.6667 0.2681  3 Cu 2.52
Cu 0.6667 0.3333 0.2774  3 Ga 2.52
Cu 0.3333 0.6667 0.7226  3 Ga 2.52

Summary:
DFT formation energy: -492 meV per atom
Space-group type: P-3m1, No. 164
Crystal system: trigonal

=====

No. 10
A relaxed structure of AcCu2SbSe4. Source: Alexandria via LeMat-Bulk, functional PBE.

Unit cell a=6.9737 b=6.4692 c=6.4692 alpha=69.94 beta=57.39 gamma=57.39
Closest atoms and distances in Å follow each position.
Sites, in units of the cell vectors:
Ac 0.0000 0.0000 0.0000  8 Se 3.25-3.30
Cu 0.1640 0.3360 0.3360  2 Se 2.33
Cu 0.8360 0.6640 0.6640  2 Se 2.33
Sb 0.5000 0.5000 0.5000  4 Se 2.81
Se 0.4545 0.0946 0.4995  1 Cu 2.33
Se 0.0485 0.9054 0.5005  1 Cu 2.33
Se 0.9515 0.4995 0.0946  1 Cu 2.33
Se 0.5455 0.5005 0.9054  1 Cu 2.33

Summary:
Formation energy (no corrections): -0.640 eV/atom
Space-group type: I222, No. 23
Crystal system: orthorhombic

=====

No. 11
A relaxed structure of Dy6ZnTe3Se2. Source: Alexandria via LeMat-Bulk, functional PBE.

Unit cell a=7.2789 b=7.2789 c=7.4460 alpha=99.34 beta=99.34 gamma=119.91
Closest atoms and distances in Å follow each position.
Sites, in units of the cell vectors:
Dy 0.9268 0.6029 0.7786  1 Zn 2.83, 2 Se 2.92-2.93, 3 Te 3.09-3.14
Dy 0.7517 0.7517 0.2239  1 Zn 2.83, 2 Se 2.92, 3 Te 3.12-3.17
Dy 0.0732 0.3971 0.2214  1 Zn 2.83, 2 Se 2.92-2.93, 3 Te 3.09-3.14
Dy 0.6029 0.9268 0.7786  1 Zn 2.83, 2 Se 2.92-2.93, 3 Te 3.09-3.14
Dy 0.2483 0.2483 0.7761  1 Zn 2.83, 2 Se 2.92, 3 Te 3.12-3.17
Dy 0.3971 0.0732 0.2214  1 Zn 2.83, 2 Se 2.92-2.93, 3 Te 3.09-3.14
Zn 0.0000 0.0000 0.0000  6 Dy 2.83
Te 0.1711 0.8289 0.5000  6 Dy 3.09-3.14
Te 0.8289 0.1711 0.5000  6 Dy 3.09-3.14
Te 0.5000 0.5000 0.5000  6 Dy 3.10-3.17
Se 0.3346 0.6654 0.0000  6 Dy 2.92-2.93
Se 0.6654 0.3346 0.0000  6 Dy 2.92-2.93

Summary:
Formation energy (no corrections): -1.319 eV/atom
Space-group type: C2/m, No. 12
Crystal system: monoclinic

=====

No. 12
A relaxed structure of PdPt5. Source: Alexandria via LeMat-Bulk, functional PBE.

Unit cell a=2.7414 b=4.8005 c=7.5782 alpha=108.47 beta=90.00 gamma=90.00
Closest atoms and distances in Å follow each position.
Sites, in units of the cell vectors:
Pd 0.0000 0.0000 0.0000  2 Pd 2.74, 8 Pt 2.76-2.77
Pt 0.0000 0.6644 0.3289  10 Pt 2.73-2.77
Pt 0.0000 0.3356 0.6711  10 Pt 2.73-2.77
Pt 0.5000 0.5000 0.0000  6 Pt 2.73-2.74, 4 Pd 2.76
Pt 0.5000 0.1678 0.3355  8 Pt 2.74-2.77, 2 Pd 2.77
Pt 0.5000 0.8322 0.6645  8 Pt 2.74-2.77, 2 Pd 2.77

Summary:
DFT formation energy: -10 meV per atom
Space-group type: Cmmm, No. 65
Crystal system: orthorhombic

=====

| no. | DFT total energy (eV per atom) |
| --- | --- |
| 1 | -2.3057 |
| 2 | -5.1450 |
| 3 | -4.5282 |
| 4 | -7.5631 |
| 5 | -6.9501 |
| 6 | -3.1857 |
| 7 | -3.0333 |
| 8 | -3.5381 |
| 9 | -4.3983 |
| 10 | -4.4356 |
| 11 | -5.0921 |
| 12 | -5.9093 |